Below is Rb2HgMoO4 after structural relaxation, with properties calculated at the PBE+U level.

**Calculated density**: 4.1 g cm⁻³
**Volume**: 434 Å³/cell
**Final energy**: -5.205 eV per atom
**Space-group type**: I-4
**D(E_F)**: 0.00 states/eV/cell

a = 7.6724 Å, b = 7.6724 Å, c = 7.3735 Å
α = 90.00°, β = 90.00°, γ = 90.00°
Closest atoms and distances in Å follow each position.
Positions (direct):
Rb (0.0000, 0.0000, 0.0000)  4 O 2.80
Rb (0.0000, 0.5000, 0.2500)  4 O 2.98
Rb (0.5000, 0.0000, 0.7500)  4 O 2.98
Rb (0.5000, 0.5000, 0.5000)  4 O 2.80
Hg (0.0000, 0.0000, 0.5000)  4 O 3.43, 2 Rb 3.69
Hg (0.5000, 0.5000, 0.0000)  4 O 3.43, 2 Rb 3.69
Mo (0.0000, 0.5000, 0.7500)  4 O 1.80
Mo (0.5000, 0.0000, 0.2500)  4 O 1.80
O (0.0956, 0.6623, 0.8963)  1 Mo 1.80
O (0.1623, 0.4044, 0.6037)  1 Mo 1.80
O (0.3377, 0.0956, 0.1037)  1 Mo 1.80
O (0.4044, 0.8377, 0.3963)  1 Mo 1.80
O (0.5956, 0.1623, 0.3963)  1 Mo 1.80
O (0.6623, 0.9044, 0.1037)  1 Mo 1.80
O (0.8377, 0.5956, 0.6037)  1 Mo 1.80
O (0.9044, 0.3377, 0.8963)  1 Mo 1.80